# 1
{
  "formula": "ScI2N",
  "functional": "SCAN",
  "state": "single point on PBEsol structure",
  "lattice_angstrom": [[-2.075, -0.914, -4.472], [2.910, -0.595, -4.040], [0.473, -4.527, -2.105]],
  "species": ["I", "I", "Sc", "N"],
  "frac_coords": [[0.250, 0.250, 0.250], [0.750, 0.750, 0.750], [0.500, 0.500, 0.500], [0.000, 0.000, 0.000]],
  "magnetic_moment_mub_per_atom": 0.500,
  "final_energy_ev_per_cell": -95.26,
  "crystal_system": "cubic",
  "sg": "Fm-3m",
  "formation_energy_uncorrected_kcal_per_mol_atoms": 10.13,
  "vol_a3_per_atom": 22.29
}


# 2
{
  "formula": "SrScIN2",
  "functional": "SCAN",
  "state": "single point on PBEsol structure",
  "lattice_angstrom": [[4.309, 0.000, 0.000], [0.000, 4.309, 0.000], [0.000, 0.000, 5.602]],
  "species": ["Sr", "I", "N", "N", "Sc"],
  "frac_coords": [[0.500, 0.500, 0.500], [0.000, 0.000, 0.500], [0.000, 0.500, 0.000], [0.500, 0.000, 0.000], [0.000, 0.000, 0.000]],
  "magnetic_moment_mub_per_atom": 0.000,
  "final_energy_ev_per_cell": -93.45,
  "crystal_system": "tetragonal",
  "sg": "P4/mmm",
  "formation_energy_uncorrected_kcal_per_mol_atoms": -7.43,
  "vol_a3_per_atom": 20.80
}


# 3
{
  "formula": "ScTaIN2",
  "functional": "SCAN",
  "state": "single point on PBEsol structure",
  "lattice_angstrom": [[-2.017, 2.983, 1.870], [-3.233, -2.422, 0.376], [1.876, -1.755, 4.824]],
  "species": ["Sc", "N", "N", "Ta", "I"],
  "frac_coords": [[0.500, 0.500, 0.500], [0.500, 0.000, 0.000], [0.000, 0.500, 0.000], [0.000, 0.000, 0.000], [0.000, 0.000, 0.500]],
  "magnetic_moment_mub_per_atom": 0.000,
  "final_energy_ev_per_cell": -135.67,
  "crystal_system": "tetragonal",
  "sg": "P4/mmm",
  "formation_energy_uncorrected_kcal_per_mol_atoms": 2.17,
  "vol_a3_per_atom": 17.99
}


# 4
{
  "formula": "ScTeI2N",
  "functional": "SCAN",
  "state": "single point on PBEsol structure",
  "lattice_angstrom": [[3.828, 0.000, 0.000], [0.000, 5.862, 0.000], [0.000, 0.000, 5.862]],
  "species": ["N", "Te", "I", "I", "Sc"],
  "frac_coords": [[0.500, 0.000, 0.000], [0.500, 0.500, 0.500], [0.000, 0.000, 0.500], [0.000, 0.500, 0.000], [0.000, 0.000, 0.000]],
  "magnetic_moment_mub_per_atom": 0.235,
  "final_energy_ev_per_cell": -134.10,
  "crystal_system": "tetragonal",
  "sg": "P4/mmm",
  "formation_energy_uncorrected_kcal_per_mol_atoms": 0.75,
  "vol_a3_per_atom": 26.31
}


# 5
{
  "formula": "YScIN2",
  "functional": "SCAN",
  "state": "single point on PBEsol structure",
  "lattice_angstrom": [[-0.019, -3.074, 3.046], [3.336, -1.950, -1.947], [3.628, 3.079, 3.131]],
  "species": ["Y", "N", "N", "I", "Sc"],
  "frac_coords": [[0.000, 0.000, 0.000], [0.500, 0.000, 0.000], [0.000, 0.500, 0.000], [0.000, 0.000, 0.500], [0.500, 0.500, 0.500]],
  "magnetic_moment_mub_per_atom": 0.219,
  "final_energy_ev_per_cell": -96.07,
  "crystal_system": "tetragonal",
  "sg": "P4/mmm",
  "formation_energy_uncorrected_kcal_per_mol_atoms": 6.15,
  "vol_a3_per_atom": 21.33
}


# 6
{
  "formula": "SiSeI2N",
  "functional": "SCAN",
  "state": "single point on PBEsol structure",
  "lattice_angstrom": [[-1.350, -1.538, -3.028], [4.775, -3.333, -0.436], [-2.578, -4.118, 3.240]],
  "species": ["I", "I", "Se", "N", "Si"],
  "frac_coords": [[0.000, 0.500, 0.000], [0.000, 0.000, 0.500], [0.000, 0.000, 0.000], [0.500, 0.000, 0.000], [0.500, 0.500, 0.500]],
  "magnetic_moment_mub_per_atom": 0.000,
  "final_energy_ev_per_cell": -106.94,
  "crystal_system": "tetragonal",
  "sg": "P4/mmm",
  "formation_energy_uncorrected_kcal_per_mol_atoms": 27.32,
  "vol_a3_per_atom": 24.92
}


# 7
{
  "formula": "TeSeI2N",
  "functional": "SCAN",
  "state": "single point on PBEsol structure",
  "lattice_angstrom": [[3.654, 0.000, 0.000], [0.000, 5.989, 0.000], [0.000, 0.000, 5.989]],
  "species": ["Se", "I", "I", "Te", "N"],
  "frac_coords": [[0.000, 0.000, 0.000], [0.000, 0.000, 0.500], [0.000, 0.500, 0.000], [0.500, 0.500, 0.500], [0.500, 0.000, 0.000]],
  "magnetic_moment_mub_per_atom": 0.000,
  "final_energy_ev_per_cell": -135.31,
  "crystal_system": "tetragonal",
  "sg": "P4/mmm",
  "formation_energy_uncorrected_kcal_per_mol_atoms": 22.09,
  "vol_a3_per_atom": 26.21
}


# 8
{
  "formula": "WSeI2N",
  "functional": "SCAN",
  "state": "single point on PBEsol structure",
  "lattice_angstrom": [[-3.170, 2.042, -0.561], [0.137, -1.237, -5.280], [-3.010, -4.411, 0.956]],
  "species": ["N", "W", "I", "I", "Se"],
  "frac_coords": [[0.500, 0.000, 0.000], [0.000, 0.000, 0.000], [0.000, 0.500, 0.000], [0.000, 0.000, 0.500], [0.500, 0.500, 0.500]],
  "magnetic_moment_mub_per_atom": 0.000,
  "final_energy_ev_per_cell": -169.31,
  "crystal_system": "tetragonal",
  "sg": "P4/mmm",
  "formation_energy_uncorrected_kcal_per_mol_atoms": 14.88,
  "vol_a3_per_atom": 22.44
}


# 9
{
  "formula": "YSeIN2",
  "functional": "SCAN",
  "state": "single point on PBEsol structure",
  "lattice_angstrom": [[-2.970, 1.231, -2.623], [2.469, -0.891, -3.214], [-1.909, -4.859, -0.119]],
  "species": ["Y", "Se", "I", "N", "N"],
  "frac_coords": [[0.500, 0.500, 0.500], [0.000, 0.000, 0.000], [0.000, 0.000, 0.500], [0.500, 0.000, 0.000], [0.000, 0.500, 0.000]],
  "magnetic_moment_mub_per_atom": 0.000,
  "final_energy_ev_per_cell": -97.99,
  "crystal_system": "tetragonal",
  "sg": "P4/mmm",
  "formation_energy_uncorrected_kcal_per_mol_atoms": 24.24,
  "vol_a3_per_atom": 17.98
}


# 10
{
  "formula": "TaSiIN2",
  "functional": "SCAN",
  "state": "single point on PBEsol structure",
  "lattice_angstrom": [[-2.918, 1.971, -1.328], [-1.589, -3.181, -1.232], [-2.408, -0.537, 4.493]],
  "species": ["Ta", "Si", "N", "N", "I"],
  "frac_coords": [[0.500, 0.500, 0.500], [0.000, 0.000, 0.000], [0.000, 0.500, 0.000], [0.500, 0.000, 0.000], [0.000, 0.000, 0.500]],
  "magnetic_moment_mub_per_atom": 0.241,
  "final_energy_ev_per_cell": -124.54,
  "crystal_system": "tetragonal",
  "sg": "P4/mmm",
  "formation_energy_uncorrected_kcal_per_mol_atoms": 34.03,
  "vol_a3_per_atom": 14.52
}


# 11
{
  "formula": "TcSnIN2",
  "functional": "SCAN",
  "state": "single point on PBEsol structure",
  "lattice_angstrom": [[-1.002, 2.476, 3.020], [1.174, -2.783, 2.671], [4.990, 2.066, -0.039]],
  "species": ["N", "N", "Tc", "Sn", "I"],
  "frac_coords": [[0.500, 0.000, 0.000], [0.000, 0.500, 0.000], [0.000, 0.000, 0.000], [0.500, 0.500, 0.500], [0.000, 0.000, 0.500]],
  "magnetic_moment_mub_per_atom": 0.000,
  "final_energy_ev_per_cell": -121.53,
  "crystal_system": "tetragonal",
  "sg": "P4/mmm",
  "formation_energy_uncorrected_kcal_per_mol_atoms": 22.02,
  "vol_a3_per_atom": 17.56
}


# 12
{
  "formula": "SnTe2IN",
  "functional": "SCAN",
  "state": "single point on PBEsol structure",
  "lattice_angstrom": [[-3.293, 0.104, 2.191], [2.385, -3.864, 3.768], [2.238, 4.457, 3.153]],
  "species": ["Te", "Te", "N", "I", "Sn"],
  "frac_coords": [[0.000, 0.500, 0.000], [0.000, 0.000, 0.500], [0.500, 0.000, 0.000], [0.000, 0.000, 0.000], [0.500, 0.500, 0.500]],
  "magnetic_moment_mub_per_atom": 0.000,
  "final_energy_ev_per_cell": -151.04,
  "crystal_system": "tetragonal",
  "sg": "P4/mmm",
  "formation_energy_uncorrected_kcal_per_mol_atoms": 24.97,
  "vol_a3_per_atom": 27.55
}


# 13
{
  "formula": "SnTeI2N",
  "functional": "SCAN",
  "state": "single point on PBEsol structure",
  "lattice_angstrom": [[3.814, 0.000, 0.000], [0.000, 6.042, 0.000], [0.000, 0.000, 6.042]],
  "species": ["N", "Te", "Sn", "I", "I"],
  "frac_coords": [[0.500, 0.000, 0.000], [0.500, 0.500, 0.500], [0.000, 0.000, 0.000], [0.000, 0.500, 0.000], [0.000, 0.000, 0.500]],
  "magnetic_moment_mub_per_atom": 0.000,
  "final_energy_ev_per_cell": -152.12,
  "crystal_system": "tetragonal",
  "sg": "P4/mmm",
  "formation_energy_uncorrected_kcal_per_mol_atoms": 17.65,
  "vol_a3_per_atom": 27.84
}


# 14
{
  "formula": "TlSnIN2",
  "functional": "SCAN",
  "state": "single point on PBEsol structure",
  "lattice_angstrom": [[-2.023, 0.279, -3.847], [2.554, -3.159, -1.572], [-3.999, -4.131, 1.804]],
  "species": ["N", "N", "Sn", "Tl", "I"],
  "frac_coords": [[0.500, 0.000, 0.000], [0.000, 0.500, 0.000], [0.000, 0.000, 0.000], [0.500, 0.500, 0.500], [0.000, 0.000, 0.500]],
  "magnetic_moment_mub_per_atom": 0.419,
  "final_energy_ev_per_cell": -158.10,
  "crystal_system": "tetragonal",
  "sg": "P4/mmm",
  "formation_energy_uncorrected_kcal_per_mol_atoms": 25.36,
  "vol_a3_per_atom": 22.86
}


# 15
{
  "formula": "SnWIN2",
  "functional": "SCAN",
  "state": "single point on PBEsol structure",
  "lattice_angstrom": [[-1.485, 2.614, -2.759], [-1.997, -3.056, -1.822], [-4.347, 0.924, 3.215]],
  "species": ["Sn", "W", "N", "N", "I"],
  "frac_coords": [[0.500, 0.500, 0.500], [0.000, 0.000, 0.000], [0.500, 0.000, 0.000], [0.000, 0.500, 0.000], [0.000, 0.000, 0.500]],
  "magnetic_moment_mub_per_atom": 0.000,
  "final_energy_ev_per_cell": -156.70,
  "crystal_system": "tetragonal",
  "sg": "P4/mmm",
  "formation_energy_uncorrected_kcal_per_mol_atoms": 19.52,
  "vol_a3_per_atom": 18.26
}


# 16
{
  "formula": "Sr2IN",
  "functional": "SCAN",
  "state": "single point on PBEsol structure",
  "lattice_angstrom": [[3.967, 0.000, 0.000], [1.983, 3.435, 0.000], [1.983, 1.145, 7.682]],
  "species": ["I", "N", "Sr", "Sr"],
  "frac_coords": [[0.000, 0.000, 0.000], [0.500, 0.500, 0.500], [0.223, 0.223, 0.330], [0.777, 0.777, 0.670]],
  "magnetic_moment_mub_per_atom": 0.018,
  "final_energy_ev_per_cell": -95.74,
  "crystal_system": "trigonal",
  "sg": "R-3m",
  "formation_energy_uncorrected_kcal_per_mol_atoms": -29.75,
  "vol_a3_per_atom": 26.17
}


# 17
{
  "formula": "SrTe2IN",
  "functional": "SCAN",
  "state": "single point on PBEsol structure",
  "lattice_angstrom": [[4.692, 0.000, 0.000], [0.000, 6.183, 0.000], [0.000, 0.000, 6.183]],
  "species": ["Te", "Te", "Sr", "N", "I"],
  "frac_coords": [[0.000, 0.000, 0.500], [0.000, 0.500, 0.000], [0.000, 0.000, 0.000], [0.500, 0.000, 0.000], [0.500, 0.500, 0.500]],
  "magnetic_moment_mub_per_atom": 0.426,
  "final_energy_ev_per_cell": -139.33,
  "crystal_system": "tetragonal",
  "sg": "P4/mmm",
  "formation_energy_uncorrected_kcal_per_mol_atoms": 16.04,
  "vol_a3_per_atom": 35.87
}


# 18
{
  "formula": "SrTiIN2",
  "functional": "SCAN",
  "state": "single point on PBEsol structure",
  "lattice_angstrom": [[-3.622, -0.731, 1.918], [1.988, -2.213, 2.911], [0.655, 4.444, 2.931]],
  "species": ["Sr", "Ti", "N", "N", "I"],
  "frac_coords": [[0.500, 0.500, 0.500], [0.000, 0.000, 0.000], [0.500, 0.000, 0.000], [0.000, 0.500, 0.000], [0.000, 0.000, 0.500]],
  "magnetic_moment_mub_per_atom": 0.202,
  "final_energy_ev_per_cell": -95.60,
  "crystal_system": "tetragonal",
  "sg": "P4/mmm",
  "formation_energy_uncorrected_kcal_per_mol_atoms": -9.08,
  "vol_a3_per_atom": 18.59
}


# 19
{
  "formula": "TaIN2",
  "functional": "SCAN",
  "state": "single point on PBEsol structure",
  "lattice_angstrom": [[-0.020, 4.855, 3.931], [-1.112, -0.909, 6.080], [4.617, 0.674, 4.154]],
  "species": ["Ta", "Ta", "N", "N", "N", "N", "I", "I"],
  "frac_coords": [[0.750, 0.750, 0.750], [0.500, 0.500, 0.500], [0.625, 0.625, 0.625], [0.625, 0.625, 0.125], [0.625, 0.125, 0.625], [0.125, 0.625, 0.625], [0.250, 0.250, 0.250], [0.000, 0.000, 0.000]],
  "magnetic_moment_mub_per_atom": 0.502,
  "final_energy_ev_per_cell": -244.44,
  "crystal_system": "cubic",
  "sg": "Fd-3m",
  "formation_energy_uncorrected_kcal_per_mol_atoms": -1.80,
  "vol_a3_per_atom": 21.55
}


# 20
{
  "formula": "TaI2N2",
  "functional": "SCAN",
  "state": "single point on PBEsol structure",
  "lattice_angstrom": [[-2.398, 2.168, 2.600], [-2.855, 0.416, -2.980], [-2.585, -4.995, 1.780]],
  "species": ["Ta", "N", "N", "I", "I"],
  "frac_coords": [[0.000, 0.000, 0.000], [0.000, 0.500, 0.000], [0.500, 0.000, 0.000], [0.500, 0.500, 0.500], [0.000, 0.000, 0.500]],
  "magnetic_moment_mub_per_atom": 0.209,
  "final_energy_ev_per_cell": -155.69,
  "crystal_system": "tetragonal",
  "sg": "P4/mmm",
  "formation_energy_uncorrected_kcal_per_mol_atoms": 13.66,
  "vol_a3_per_atom": 20.30
}